A relaxed Tb2Y2Th3 crystal, computed with PBE-GGA.

abc: 3.489 5.901 11.622
angles: 104.68 98.52 90.06
Space group P-1 (No. 2)
Symmetry-distinct sites (fractional):
Tb (0.085, 0.082, 0.164)
Y (0.362, 0.362, 0.725)
Th (0.000, 0.500, 0.000)
Th (0.275, 0.775, 0.550)

Properties
Calculated total energy ... -0.45739 Ry per atom
Formation energy from the elements ... 12.22 kJ per mole of atoms
Calculated density ... 8653 kg/m³

***

A relaxed YTaBr2 crystal, computed with PBE-GGA.

abc: 3.334 5.093 10.742
angles: 90.00 90.00 90.00
Space group Imm2 (No. 44)
Symmetry-distinct sites (fractional):
Y (0.000, 0.000, 0.000)
Ta (0.000, 0.500, 0.248)
Br (0.000, 0.000, 0.543)
Br (0.000, 0.500, 0.751)

Properties
Formation energy from raw total energies ... -3 kJ per mole of atoms
Calculated total energy ... -0.40040 Ry per atom
Calculated density ... 7822 kg/m³

***

A relaxed Pa3GaCo5 crystal, computed with PBE-GGA.

abc: 7.8324 7.8324 5.4647
angles: 90.00 90.00 120.00
Space group P6_3/mcm (No. 193)
Symmetry-distinct sites (fractional):
Pa (0.0000, 0.3564, 0.2500)
Ga (0.0000, 0.0000, 0.0000)
Co (0.0000, 0.3055, 0.7500)
Co (0.3333, 0.6667, 0.0000)

Properties
Calculated total energy ... -0.57010 Ry per atom
Formation energy from the elements ... -29.65 kJ per mole of atoms
Calculated density ... 12097 kg/m³

***

A relaxed LaSm3Th2N6 crystal, computed with PBE-GGA.

abc: 15.839 3.647 7.278
angles: 90.00 103.04 90.00
Space group C2/m (No. 12)
Symmetry-distinct sites (fractional):
La (0.000, 0.000, 0.000)
Sm (0.000, 0.000, 0.500)
Sm (0.166, 0.500, 0.835)
Th (0.166, 0.500, 0.332)
N (0.005, 0.500, 0.260)
N (0.169, 0.000, 0.578)
N (0.170, 0.000, 0.093)

Properties
Formation energy from raw total energies ... -147 kJ per mole of atoms
Calculated total energy ... -0.62543 Ry per atom
Calculated density ... 9228 kg/m³